# 1
Density functional theory data (PBE-GGA) for a relaxed structure of BeOsI2. Values from VASP.

Structure (Quantum ESPRESSO input):
```
&SYSTEM
  ibrav = 0, nat = 4, ntyp = 3
/
ATOMIC_SPECIES
I 126.90 I.upf
Be 9.01 Be.upf
Os 190.23 Os.upf
ATOMIC_POSITIONS crystal
I 0.250 0.250 0.250
I 0.750 0.750 0.750
Be 0.000 0.000 0.000
Os 0.500 0.500 0.500
CELL_PARAMETERS angstrom
0.000 3.410 3.410
3.410 0.000 3.410
3.410 3.410 0.000
```

Calculated values
* space group: No. 225
* energy relative to the elements, uncorrected: 1.496 eV per atom
* M_tot: 0.00 μB/f.u.
* excess energy over the best structure of this formula in the dataset: 43.1 kJ/mol of atoms
* final energy: -0.111 Ha/atom


# 2
Density functional theory data (PBE-GGA) for a relaxed structure of CaGaH3. Values from VASP.

Structure (Quantum ESPRESSO input):
```
&SYSTEM
  ibrav = 0, nat = 5, ntyp = 3
/
ATOMIC_SPECIES
H 1.01 H.upf
Ca 40.08 Ca.upf
Ga 69.72 Ga.upf
ATOMIC_POSITIONS crystal
H 0.000 0.500 0.000
H 0.000 0.000 0.500
H 0.500 0.000 0.000
Ca 0.500 0.500 0.500
Ga 0.000 0.000 0.000
CELL_PARAMETERS angstrom
-0.249 3.137 2.252
-2.900 -1.642 1.966
2.549 -1.561 2.457
```

Calculated values
* space group: No. 221
* M_tot: 0.00 μB/f.u.
* excess energy over the best structure of this formula in the dataset: 24.3 kJ/mol of atoms
* final energy: -0.110 Ha/atom